Record 1
# YHfFeRh

Crystalline YHfFeRh at its relaxed geometry (PBE-GGA, Alexandria).

Cell and atoms, written as POSCAR:
```
YHfFeRh
1.0
0.000 3.292 3.292
3.292 0.000 3.292
3.292 3.292 0.000
Y Hf Fe Rh
1 1 1 1
direct
0.000 0.000 0.000
0.500 0.500 0.500
0.750 0.750 0.750
0.250 0.250 0.250
```

Summary:
ρ: 9.92 g/cm³
Formation enthalpy at 0 K: -0.39 eV per atom
Magnetic moment: 0.000 μB per atom

Record 2
# LiHg2Mo

Crystalline LiHg2Mo at its relaxed geometry (PBE-GGA, Alexandria).

Cell and atoms, written as POSCAR:
```
LiHg2Mo
1.0
2.866 0.000 0.000
0.000 4.117 0.000
-0.019 0.000 6.222
Li Hg Mo
1 2 1
direct
0.000 0.000 0.000
0.499 0.500 0.247
0.501 0.500 0.753
0.000 0.000 0.500
```

Summary:
ρ: 11.40 g/cm³
Formation enthalpy at 0 K: 0.31 eV per atom
Magnetic moment: 0.227 μB per atom

Record 3
# NdMgIr

Crystalline NdMgIr at its relaxed geometry (PBE-GGA, Alexandria).

Cell and atoms, written as POSCAR:
```
NdMgIr
1.0
0.000 3.351 3.351
3.351 0.000 3.351
3.351 3.351 0.000
Nd Mg Ir
1 1 1
direct
0.000 0.000 0.000
0.500 0.500 0.500
0.250 0.250 0.250
```

Summary:
ρ: 7.96 g/cm³
Formation enthalpy at 0 K: -0.42 eV per atom
Magnetic moment: 0.000 μB per atom

Record 4
# Pu2Ga2Fe2C

Crystalline Pu2Ga2Fe2C at its relaxed geometry (PBE-GGA, Alexandria).

Cell and atoms, written as POSCAR:
```
Pu2Ga2Fe2C
1.0
5.468 -1.969 0.000
5.468 1.969 0.000
-4.575 0.000 5.458
Pu Ga Fe C
2 2 2 1
direct
0.056 0.056 0.280
0.944 0.944 0.720
0.344 0.344 0.299
0.656 0.656 0.701
0.309 0.309 0.925
0.691 0.691 0.075
0.500 0.500 0.000
```

Summary:
ρ: 10.61 g/cm³
Formation enthalpy at 0 K: -0.17 eV per atom
Magnetic moment: 1.324 μB per atom

Record 5
# NdMg2Au

Crystalline NdMg2Au at its relaxed geometry (PBE-GGA, Alexandria).

Cell and atoms, written as POSCAR:
```
NdMg2Au
1.0
3.435 0.000 0.000
0.000 3.435 0.000
0.000 0.000 7.967
Nd Mg Au
1 2 1
direct
0.000 0.000 0.000
0.500 0.500 0.310
0.500 0.500 0.690
0.000 0.000 0.500
```

Summary:
ρ: 6.89 g/cm³
Formation enthalpy at 0 K: -0.34 eV per atom
Magnetic moment: 0.027 μB per atom

Record 6
# TlHgBr6

Crystalline TlHgBr6 at its relaxed geometry (PBE-GGA, Alexandria).

Cell and atoms, written as POSCAR:
```
TlHgBr6
1.0
6.091 0.000 0.000
2.482 6.525 0.000
2.688 1.990 6.996
Tl Hg Br
1 1 6
direct
0.000 0.000 0.000
0.500 0.500 0.500
0.244 0.536 0.986
0.245 0.963 0.224
0.261 0.247 0.571
0.739 0.753 0.429
0.755 0.037 0.776
0.756 0.464 0.014
```

Summary:
ρ: 5.28 g/cm³
Energy relative to the elements, uncorrected: -275 meV/atom
Magnetic moment: 0.000 μB per atom